[1]
First-principles (PBE) data for a geometry-optimized ScRuBr2 structure, as listed in the Alexandria database.

Structure (CIF):
```
data_ScRuBr2
_cell_length_a 6.258
_cell_length_b 8.442
_cell_length_c 4.500
_cell_angle_alpha 90.00
_cell_angle_beta 133.85
_cell_angle_gamma 90.00
_space_group_name_H-M_alt 'C 1 2/m 1'
_space_group_IT_number 12
_space_group_name_Hall '-C 2y'
loop_
_atom_site_label
_atom_site_fract_x
_atom_site_fract_y
_atom_site_fract_z
_atom_site_occupancy
Sc1 0.000 0.000 0.000 1
Ru1 0.000 0.500 0.000 1
Br1 0.250 0.250 0.500 1
```

Results
The calculation puts the formation energy from raw total energies at -0.2 eV per formula unit. The value obtained for the magnetic moment is 0.00 Bohr magnetons per cell. The energy above the most stable polymorph in this dataset comes out at 508 meV/atom.



[2]
First-principles (PBE) data for a geometry-optimized MnSiS3 structure, as listed in the Alexandria database.

Structure (CIF):
```
data_MnSiS3
_cell_length_a 4.506
_cell_length_b 4.506
_cell_length_c 4.506
_cell_angle_alpha 90.00
_cell_angle_beta 90.00
_cell_angle_gamma 90.00
_space_group_name_H-M_alt 'P m -3 m'
_space_group_IT_number 221
_space_group_name_Hall '-P 4 2 3'
loop_
_atom_site_label
_atom_site_fract_x
_atom_site_fract_y
_atom_site_fract_z
_atom_site_occupancy
Mn1 0.000 0.000 0.000 1
Si1 0.500 0.500 0.500 1
S1 0.000 0.500 0.500 1
```

Results
The calculation puts the formation energy from raw total energies at 1.1 eV per formula unit. The value obtained for the magnetic moment is 4.83 Bohr magnetons per cell. The energy above the most stable polymorph in this dataset comes out at 779 meV/atom.



[3]
First-principles (PBE) data for a geometry-optimized Tb2NdY8 structure, as listed in the Alexandria database.

Structure (CIF):
```
data_Tb2NdY8
_cell_length_a 19.183
_cell_length_b 7.004
_cell_length_c 5.582
_cell_angle_alpha 90.00
_cell_angle_beta 92.96
_cell_angle_gamma 90.00
_space_group_name_H-M_alt 'C 1 2/m 1'
_space_group_IT_number 12
_space_group_name_Hall '-C 2y'
loop_
_atom_site_label
_atom_site_fract_x
_atom_site_fract_y
_atom_site_fract_z
_atom_site_occupancy
Tb1 0.216 0.000 0.249 1
Nd1 0.000 0.500 0.000 1
Y1 0.047 0.000 0.237 1
Y2 0.133 0.234 0.731 1
Y3 0.188 0.500 0.233 1
```

Results
The value obtained for the magnetic moment is 0.00 Bohr magnetons per cell. The energy above the most stable polymorph in this dataset comes out at 0 meV/atom. For the formation energy, the calculation gives 146 meV/atom.



[4]
First-principles (PBE) data for a geometry-optimized Pm6Y12Ho structure, as listed in the Alexandria database.

Structure (CIF):
```
data_Pm6Y12Ho
_cell_length_a 13.3710
_cell_length_b 13.3710
_cell_length_c 12.5818
_cell_angle_alpha 90.00
_cell_angle_beta 90.00
_cell_angle_gamma 120.00
_space_group_name_H-M_alt 'R -3 m'
_space_group_IT_number 166
_space_group_name_Hall '-R 3 2"'
loop_
_atom_site_label
_atom_site_fract_x
_atom_site_fract_y
_atom_site_fract_z
_atom_site_occupancy
Pm1 0.0412 0.5206 0.1175 1
Y1 0.0000 0.2584 0.0000 1
Y2 0.0904 0.1808 0.7624 1
Ho1 0.0000 0.0000 0.5000 1
```

Results
The value obtained for the magnetic moment is 0.00 Bohr magnetons per cell. The energy above the most stable polymorph in this dataset comes out at 90 meV/atom. For the formation energy, the calculation gives 207 meV/atom.



[5]
First-principles (PBE) data for a geometry-optimized Ta2Zn2SnO8 structure, as listed in the Alexandria database.

Structure (CIF):
```
data_Ta2Zn2SnO8
_cell_length_a 21.027
_cell_length_b 5.966
_cell_length_c 5.451
_cell_angle_alpha 90.00
_cell_angle_beta 92.14
_cell_angle_gamma 90.00
_space_group_name_H-M_alt 'C 1 2/c 1'
_space_group_IT_number 15
_space_group_name_Hall '-C 2yc'
loop_
_atom_site_label
_atom_site_fract_x
_atom_site_fract_y
_atom_site_fract_z
_atom_site_occupancy
Ta1 0.125 0.156 0.214 1
Zn1 0.220 0.350 0.719 1
Sn1 0.000 0.316 0.750 1
O1 0.069 0.381 0.116 1
O2 0.081 0.089 0.521 1
O3 0.181 0.113 0.913 1
O4 0.199 0.347 0.349 1
```

Results
The calculation puts the formation energy from raw total energies at -27.7 eV per formula unit. The value obtained for the magnetic moment is 0.00 Bohr magnetons per cell.



[6]
First-principles (PBE) data for a geometry-optimized SmY2Ir9 structure, as listed in the Alexandria database.

Structure (CIF):
```
data_SmY2Ir9
_cell_length_a 5.3310
_cell_length_b 5.3310
_cell_length_c 26.3231
_cell_angle_alpha 90.00
_cell_angle_beta 90.00
_cell_angle_gamma 120.00
_space_group_name_H-M_alt 'R -3 m'
_space_group_IT_number 166
_space_group_name_Hall '-R 3 2"'
loop_
_atom_site_label
_atom_site_fract_x
_atom_site_fract_y
_atom_site_fract_z
_atom_site_occupancy
Sm1 0.0000 0.0000 0.0000 1
Y1 0.0000 0.0000 0.1395 1
Ir1 0.0000 0.0000 0.3328 1
Ir2 0.0000 0.0000 0.5000 1
Ir3 0.0009 0.5005 0.0821 1
```

Results
The value obtained for the magnetic moment is 0.00 Bohr magnetons per cell. For the formation energy, the calculation gives -576 meV/atom.



[7]
First-principles (PBE) data for a geometry-optimized PPdPt3 structure, as listed in the Alexandria database.

Structure (CIF):
```
data_PPdPt3
_cell_length_a 4.468
_cell_length_b 4.468
_cell_length_c 4.468
_cell_angle_alpha 90.00
_cell_angle_beta 90.00
_cell_angle_gamma 90.00
_space_group_name_H-M_alt 'P m -3 m'
_space_group_IT_number 221
_space_group_name_Hall '-P 4 2 3'
loop_
_atom_site_label
_atom_site_fract_x
_atom_site_fract_y
_atom_site_fract_z
_atom_site_occupancy
P1 0.000 0.000 0.000 1
Pd1 0.500 0.500 0.500 1
Pt1 0.000 0.000 0.500 1
```

Results
The value obtained for the magnetic moment is 0.00 Bohr magnetons per cell. The energy above the most stable polymorph in this dataset comes out at 472 meV/atom. For the formation energy, the calculation gives 203 meV/atom.



[8]
First-principles (PBE) data for a geometry-optimized K2AlCd structure, as listed in the Alexandria database.

Structure (CIF):
```
data_K2AlCd
_cell_length_a 9.707
_cell_length_b 9.707
_cell_length_c 6.380
_cell_angle_alpha 90.00
_cell_angle_beta 90.00
_cell_angle_gamma 90.00
_space_group_name_H-M_alt 'I -4 2 d'
_space_group_IT_number 122
_space_group_name_Hall 'I -4 2bw'
loop_
_atom_site_label
_atom_site_fract_x
_atom_site_fract_y
_atom_site_fract_z
_atom_site_occupancy
K1 0.248 0.250 0.125 1
Al1 0.000 0.000 0.500 1
Cd1 0.000 0.000 0.000 1
```

Results
The value obtained for the magnetic moment is 0.00 Bohr magnetons per cell. The energy above the most stable polymorph in this dataset comes out at 273 meV/atom. For the formation energy, the calculation gives 356 meV/atom.



[9]
First-principles (PBE) data for a geometry-optimized Er2PbAu structure, as listed in the Alexandria database.

Structure (CIF):
```
data_Er2PbAu
_cell_length_a 3.8238
_cell_length_b 3.8238
_cell_length_c 26.2240
_cell_angle_alpha 90.00
_cell_angle_beta 90.00
_cell_angle_gamma 120.00
_space_group_name_H-M_alt 'R -3 m'
_space_group_IT_number 166
_space_group_name_Hall '-R 3 2"'
loop_
_atom_site_label
_atom_site_fract_x
_atom_site_fract_y
_atom_site_fract_z
_atom_site_occupancy
Er1 0.0000 0.0000 0.2385 1
Pb1 0.0000 0.0000 0.0000 1
Au1 0.0000 0.0000 0.5000 1
```

Results
The value obtained for the magnetic moment is 0.00 Bohr magnetons per cell. For the formation energy, the calculation gives -521 meV/atom.



[10]
First-principles (PBE) data for a geometry-optimized Ba2HfCuCl structure, as listed in the Alexandria database.

Structure (CIF):
```
data_Ba2HfCuCl
_cell_length_a 6.501
_cell_length_b 6.501
_cell_length_c 4.858
_cell_angle_alpha 90.00
_cell_angle_beta 90.00
_cell_angle_gamma 90.00
_space_group_name_H-M_alt 'P 4/m m m'
_space_group_IT_number 123
_space_group_name_Hall '-P 4 2'
loop_
_atom_site_label
_atom_site_fract_x
_atom_site_fract_y
_atom_site_fract_z
_atom_site_occupancy
Ba1 0.000 0.500 0.000 1
Hf1 0.000 0.000 0.000 1
Cu1 0.500 0.500 0.500 1
Cl1 0.000 0.000 0.500 1
```

Results
The calculation puts the formation energy from raw total energies at 1.9 eV per formula unit. The value obtained for the magnetic moment is 0.00 Bohr magnetons per cell.



[11]
First-principles (PBE) data for a geometry-optimized TaHCl3 structure, as listed in the Alexandria database.

Structure (CIF):
```
data_TaHCl3
_cell_length_a 4.274
_cell_length_b 4.274
_cell_length_c 4.274
_cell_angle_alpha 90.00
_cell_angle_beta 90.00
_cell_angle_gamma 90.00
_space_group_name_H-M_alt 'P m -3 m'
_space_group_IT_number 221
_space_group_name_Hall '-P 4 2 3'
loop_
_atom_site_label
_atom_site_fract_x
_atom_site_fract_y
_atom_site_fract_z
_atom_site_occupancy
Ta1 0.000 0.000 0.000 1
H1 0.500 0.500 0.500 1
Cl1 0.000 0.500 0.500 1
```

Results
The value obtained for the magnetic moment is 2.62 Bohr magnetons per cell. The energy above the most stable polymorph in this dataset comes out at 1494 meV/atom.



[12]
First-principles (PBE) data for a geometry-optimized ReTeBr2 structure, as listed in the Alexandria database.

Structure (CIF):
```
data_ReTeBr2
_cell_length_a 3.266
_cell_length_b 5.053
_cell_length_c 12.629
_cell_angle_alpha 90.00
_cell_angle_beta 90.00
_cell_angle_gamma 90.00
_space_group_name_H-M_alt 'I m m 2'
_space_group_IT_number 44
_space_group_name_Hall 'I 2 -2'
loop_
_atom_site_label
_atom_site_fract_x
_atom_site_fract_y
_atom_site_fract_z
_atom_site_occupancy
Re1 0.000 0.000 0.000 1
Te1 0.000 0.500 0.660 1
Br1 0.000 0.000 0.496 1
Br2 0.000 0.500 0.327 1
```

Results
The calculation puts the formation energy from raw total energies at 1.9 eV per formula unit. The value obtained for the magnetic moment is 0.00 Bohr magnetons per cell. The energy above the most stable polymorph in this dataset comes out at 335 meV/atom.